Record 1
Entry from the Alexandria database: a relaxed structure of Er4PdRh (GGA-PBE).

Output
density of states at the Fermi level: 8.17 states/eV/cell

abc: 7.707 7.707 7.707
angles: 106.12 106.12 116.41
Atoms (fractional coordinates):
Er  0.256  0.956  0.699
Er  0.744  0.448  0.704
Er  0.706  0.506  0.199
Er  0.198  0.994  0.204
Er  0.307  0.506  0.801
Er  0.790  0.994  0.796
Er  0.744  0.040  0.296
Er  0.256  0.557  0.301
Pd  0.249  0.249  0.000
Pd  0.999  0.499  0.500
Rh  0.751  0.751  0.000
Rh  0.501  0.001  0.500


Record 2
Entry from the Alexandria database: a relaxed structure of Er2Pd3Rh (GGA-PBE).

Output
density of states at the Fermi level: 6.09 states/eV/cell

abc: 5.973 5.983 7.772
angles: 112.64 112.60 90.00
Atoms (fractional coordinates):
Er  0.393  0.152  0.303
Er  0.607  0.848  0.697
Er  0.090  0.348  0.697
Er  0.910  0.652  0.303
Pd  0.390  0.638  0.276
Pd  0.610  0.362  0.724
Pd  0.114  0.862  0.724
Pd  0.886  0.138  0.276
Pd  0.500  0.750  0.000
Pd  0.500  0.250  0.000
Rh  0.000  0.250  0.000
Rh  0.000  0.750  0.000


Record 3
Entry from the Alexandria database: a relaxed structure of Er6PdRh2 (GGA-PBE).

Output
density of states at the Fermi level: 14.94 states/eV/cell

abc: 8.270 8.270 8.270
angles: 105.56 112.08 110.84
Atoms (fractional coordinates):
Er  0.549  0.727  0.822
Er  0.451  0.273  0.178
Er  0.095  0.273  0.822
Er  0.905  0.727  0.178
Er  0.810  0.753  0.563
Er  0.190  0.247  0.437
Er  0.190  0.753  0.943
Er  0.810  0.247  0.057
Er  0.693  0.364  0.671
Er  0.307  0.636  0.329
Er  0.307  0.979  0.671
Er  0.693  0.021  0.329
Pd  0.000  0.500  0.500
Pd  0.000  0.000  0.000
Rh  0.500  0.369  0.869
Rh  0.500  0.631  0.131
Rh  0.669  0.000  0.669
Rh  0.331  0.000  0.331


Record 4
Entry from the Alexandria database: a relaxed structure of Er6Pd5Rh (GGA-PBE).

Output
density of states at the Fermi level: 4.76 states/eV/cell

abc: 4.937 6.832 7.784
angles: 90.00 71.51 90.00
Atoms (fractional coordinates):
Rh  0.000  0.000  0.000
Pd  0.668  0.500  0.665
Pd  0.333  0.000  0.334
Pd  0.000  0.500  0.000
Pd  0.667  0.000  0.666
Pd  0.332  0.500  0.335
Er  0.836  0.752  0.328
Er  0.836  0.248  0.328
Er  0.500  0.246  0.000
Er  0.500  0.754  0.000
Er  0.164  0.752  0.672
Er  0.164  0.248  0.672


Record 5
Entry from the Alexandria database: a relaxed structure of Er2Pd2Rh (GGA-PBE).

Output
density of states at the Fermi level: 7.59 states/eV/cell

abc: 5.645 6.174 7.287
angles: 115.06 112.79 90.00
Atoms (fractional coordinates):
Er  0.341  0.562  0.681
Er  0.659  0.438  0.319
Er  0.159  0.881  0.319
Er  0.841  0.119  0.681
Pd  0.899  0.735  0.798
Pd  0.101  0.265  0.202
Pd  0.601  0.937  0.202
Pd  0.399  0.063  0.798
Rh  0.750  0.500  0.000
Rh  0.250  0.500  0.000


Record 6
Entry from the Alexandria database: a relaxed structure of ErPdRh (GGA-PBE).

Output
density of states at the Fermi level: 4.48 states/eV/cell

abc: 3.236 8.031 4.563
angles: 90.00 90.00 90.00
Atoms (fractional coordinates):
Er  0.000  0.759  0.000
Er  0.500  0.241  0.500
Pd  0.500  0.464  0.000
Pd  0.000  0.536  0.500
Rh  0.000  0.970  0.500
Rh  0.500  0.030  0.000


Record 7
Entry from the Alexandria database: a relaxed structure of Er6PdRh5 (GGA-PBE).

Output
density of states at the Fermi level: 6.81 states/eV/cell

abc: 4.778 6.943 8.303
angles: 114.72 106.70 90.00
Atoms (fractional coordinates):
Rh  0.667  0.167  0.333
Rh  0.334  0.334  0.668
Rh  0.000  0.500  0.000
Rh  0.666  0.666  0.332
Rh  0.333  0.833  0.667
Pd  0.000  0.000  0.000
Er  0.832  0.580  0.664
Er  0.832  0.084  0.664
Er  0.500  0.746  0.000
Er  0.500  0.254  0.000
Er  0.168  0.916  0.336
Er  0.168  0.420  0.336


Record 8
Entry from the Alexandria database: a relaxed structure of ErPdRh (GGA-PBE).

Output
density of states at the Fermi level: 1.29 states/eV/cell

abc: 3.567 4.362 4.362
angles: 120.00 90.00 90.00
Atoms (fractional coordinates):
Rh  0.167  0.333  0.667
Pd  0.167  0.000  0.000
Er  0.667  0.667  0.333


Record 9
Entry from the Alexandria database: a relaxed structure of Er8PdRh2 (GGA-PBE).

Output
density of states at the Fermi level: 12.55 states/eV/cell

abc: 4.935 6.734 8.939
angles: 105.23 106.02 90.00
Atoms (fractional coordinates):
Er  0.406  0.541  0.812
Er  0.669  0.972  0.339
Er  0.797  0.680  0.594
Er  0.966  0.219  0.933
Er  0.203  0.320  0.406
Er  0.331  0.028  0.661
Er  0.594  0.459  0.188
Er  0.034  0.781  0.067
Pd  0.500  0.000  0.000
Rh  0.811  0.282  0.621
Rh  0.189  0.718  0.379


Record 10
Entry from the Alexandria database: a relaxed structure of Er3PdRh (GGA-PBE).

Output
density of states at the Fermi level: 7.96 states/eV/cell

abc: 5.779 5.779 8.519
angles: 67.76 67.76 65.61
Atoms (fractional coordinates):
Er  0.307  0.307  0.863
Er  0.693  0.693  0.137
Er  0.021  0.021  0.740
Er  0.979  0.979  0.260
Er  0.699  0.699  0.675
Er  0.301  0.301  0.325
Pd  0.713  0.287  0.500
Pd  0.287  0.713  0.500
Rh  0.271  0.729  0.000
Rh  0.729  0.271  0.000


Number 1: total energy -5.649 eV per atom. Number 2: total energy -6.091 eV per atom. Number 3: total energy -5.906 eV per atom. Number 4: total energy -5.988 eV per atom. Number 5: total energy -6.064 eV per atom. Number 6: total energy -6.173 eV per atom. Number 7: total energy -6.712 eV per atom. Number 8: total energy -6.331 eV per atom. Number 9: total energy -5.635 eV per atom. Number 10: total energy -5.967 eV per atom.